# 1
Entry from OQMD via LeMat-Bulk: ZrBeInIr after structural relaxation (PBE-GGA).

Results
Energy relative to the lowest polymorph listed for this composition = 0.0000 eV per atom
Spin magnetization = 0.00 μB/f.u.

a b c (Å): 6.433 6.433 6.433
angles (deg): 90.00 90.00 90.00
Space group F-43m (No. 216)
Asymmetric unit:
Zr 0.000 0.000 0.000 x4
Be 0.250 0.250 0.250 x4
In 0.000 0.000 0.500 x4
Ir 0.250 0.250 0.750 x4

---

# 2
Entry from OQMD via LeMat-Bulk: K2PuCdS4 after structural relaxation (PBE-GGA).

Results
Spin magnetization = 4.00 μB/f.u.
Electronic total energy = -0.3859 Ry/atom

a b c (Å): 10.529 8.724 7.441
angles (deg): 90.00 134.87 90.00
Space group C2 (No. 5)
Asymmetric unit:
K 0.000 0.000 0.000 x2
K 0.000 0.250 0.500 x2
Pu 0.000 0.500 0.000 x2
Cd 0.000 0.751 0.500 x2
S 0.188 0.622 0.935 x4
S 0.247 0.880 0.560 x4

---

# 3
Entry from OQMD via LeMat-Bulk: U11Ni16 after structural relaxation (PBE-GGA).

Results
Spin magnetization = 7.46 μB/f.u.
Formation energy = -0.25 eV/atom

a b c (Å): 11.6847 11.6847 20.4766
angles (deg): 90.00 90.00 120.00
Space group R-3 (No. 148, hexagonal axes)
Asymmetric unit:
U 0.0000 0.0000 0.0717 x6
U 0.0000 0.0000 0.3061 x6
U 0.0367 0.7857 0.3381 x18
U 0.0480 0.7887 0.8749 x18
U 0.0803 0.5848 0.1414 x18
Ni 0.0000 0.0000 0.4384 x6
Ni 0.0245 0.8827 0.2003 x18
Ni 0.0371 0.8096 0.7355 x18
Ni 0.0480 0.8285 0.6071 x18
Ni 0.0496 0.7850 0.0988 x18
Ni 0.0873 0.2413 0.9982 x18

---

# 4
Entry from OQMD via LeMat-Bulk: Tb2GdAl3Si2Ir after structural relaxation (PBE-GGA).

Results
Spin magnetization = 0.00 μB/f.u.
Electronic total energy = -0.4290 Ry/atom

a b c (Å): 4.234 12.044 6.953
angles (deg): 90.00 90.00 90.00
Space group Amm2 (No. 38)
Asymmetric unit:
Tb 0.000 0.208 0.000 x4
Gd 0.000 0.000 0.623 x2
Al 0.500 0.000 0.975 x2
Al 0.500 0.116 0.324 x4
Si 0.500 0.167 0.708 x4
Ir 0.000 0.000 0.207 x2

---

# 5
Entry from OQMD via LeMat-Bulk: NbFeNiGe after structural relaxation (PBE-GGA).

Results
Energy relative to the lowest polymorph listed for this composition = 0.0939 eV per atom
Spin magnetization = 1.84 μB/f.u.

a b c (Å): 6.040 6.040 6.040
angles (deg): 90.00 90.00 90.00
Space group F-43m (No. 216)
Asymmetric unit:
Nb 0.000 0.000 0.000 x4
Fe 0.000 0.000 0.500 x4
Ni 0.250 0.250 0.750 x4
Ge 0.250 0.250 0.250 x4

---

# 6
Entry from OQMD via LeMat-Bulk: Cu2Ag3 after structural relaxation (PBE-GGA).

Results
Energy relative to the lowest polymorph listed for this composition = 0.0695 eV per atom
Formation energy = 0.10 eV/atom

a b c (Å): 11.993 2.846 9.341
angles (deg): 90.00 102.54 90.00
Space group C2/m (No. 12)
Asymmetric unit:
Cu 0.099 0.000 0.290 x4
Cu 0.199 0.500 0.097 x4
Ag 0.000 0.000 0.000 x2
Ag 0.000 0.500 0.500 x2
Ag 0.104 0.500 0.805 x4
Ag 0.210 0.000 0.608 x4

---

What did the fourth record say?
Entry from OQMD via LeMat-Bulk: Tb2GdAl3Si2Ir after structural relaxation (PBE-GGA).

Results
Spin magnetization = 0.00 μB/f.u.
Electronic total energy = -0.4290 Ry/atom

a b c (Å): 4.234 12.044 6.953
angles (deg): 90.00 90.00 90.00
Space group Amm2 (No. 38)
Asymmetric unit:
Tb 0.000 0.208 0.000 x4
Gd 0.000 0.000 0.623 x2
Al 0.500 0.000 0.975 x2
Al 0.500 0.116 0.324 x4
Si 0.500 0.167 0.708 x4
Ir 0.000 0.000 0.207 x2

---

- Which formula does entry 3 have?
  U11Ni16

---

Copy entry 3 word for word.
Entry from OQMD via LeMat-Bulk: U11Ni16 after structural relaxation (PBE-GGA).

Results
Spin magnetization = 7.46 μB/f.u.
Formation energy = -0.25 eV/atom

a b c (Å): 11.6847 11.6847 20.4766
angles (deg): 90.00 90.00 120.00
Space group R-3 (No. 148, hexagonal axes)
Asymmetric unit:
U 0.0000 0.0000 0.0717 x6
U 0.0000 0.0000 0.3061 x6
U 0.0367 0.7857 0.3381 x18
U 0.0480 0.7887 0.8749 x18
U 0.0803 0.5848 0.1414 x18
Ni 0.0000 0.0000 0.4384 x6
Ni 0.0245 0.8827 0.2003 x18
Ni 0.0371 0.8096 0.7355 x18
Ni 0.0480 0.8285 0.6071 x18
Ni 0.0496 0.7850 0.0988 x18
Ni 0.0873 0.2413 0.9982 x18